Entry from the Alexandria database: a relaxed TiS2Cl5 crystal (PBE).

Results
The volume comes out at 41.7 A^3/atom. Its formation energy (no corrections) is -960 meV/atom.

Cell lengths 5.905, 11.130, 6.680 Å; angles 92.46, 69.57, 57.91 degrees
Site moments in Bohr magnetons follow the coordinates.
Positions (direct):
1 S 0.329 0.514 0.701  0.25
2 S 0.644 0.526 0.525  0.31
3 Cl 0.069 0.248 0.879  0.00
4 Cl 0.599 0.164 0.242  0.00
5 Cl 0.010 0.973 0.659  0.00
6 Cl 0.389 0.901 0.001  0.00
7 Cl 0.167 0.603 0.047  0.04
8 Ti 0.017 0.071 0.946  0.00